(1)
{"formula": "K3DyHo2Se6", "functional": "PBE", "state": "relaxed", "lattice": [[3.638, -6.302, 0.000], [3.638, 6.302, 0.000], [-2.425, 0.000, 7.681]], "species": ["K", "K", "K", "Dy", "Ho", "Ho", "Se", "Se", "Se", "Se", "Se", "Se"], "frac_coords": [[0.000, 0.000, 0.000], [0.333, 0.667, 0.000], [0.667, 0.333, 0.000], [0.500, 0.500, 0.500], [0.167, 0.833, 0.500], [0.833, 0.167, 0.500], [0.098, 0.432, 0.295], [0.234, 0.234, 0.705], [0.432, 0.098, 0.295], [0.568, 0.902, 0.705], [0.766, 0.766, 0.295], [0.902, 0.568, 0.705]], "total_magnetization_mub_per_atom": 0.0000, "space_group": "No. 12", "e_form_raw_ev_per_atom": -1.76}



(2)
{"formula": "SbP2Rh", "functional": "PBE", "state": "relaxed", "lattice": [[5.180, 0.000, 0.000], [0.000, 5.180, 0.000], [0.000, 0.000, 5.274]], "species": ["Sb", "Sb", "P", "P", "P", "P", "Rh", "Rh"], "frac_coords": [[0.000, 0.000, 0.000], [0.500, 0.500, 0.500], [0.000, 0.500, 0.000], [0.000, 0.500, 0.500], [0.500, 0.000, 0.000], [0.500, 0.000, 0.500], [0.000, 0.000, 0.500], [0.500, 0.500, 0.000]], "total_magnetization_mub_per_atom": 0.0000, "space_group": "No. 139", "e_form_raw_ev_per_atom": 0.05}



(3)
{"formula": "Tl2SiPt", "functional": "PBE", "state": "relaxed", "lattice": [[7.661, 0.000, 0.000], [0.000, 3.687, 0.000], [-2.177, 0.000, 7.234]], "species": ["Tl", "Tl", "Tl", "Tl", "Si", "Si", "Pt", "Pt"], "frac_coords": [[0.000, 0.000, 0.000], [0.180, 0.000, 0.632], [0.500, 0.500, 0.000], [0.680, 0.500, 0.632], [0.254, 0.500, 0.315], [0.754, 0.000, 0.315], [0.440, 0.000, 0.317], [0.940, 0.500, 0.317]], "total_magnetization_mub_per_atom": 0.0000, "space_group": "No. 8", "e_form_raw_ev_per_atom": -0.16}



(4)
{"formula": "BaReAs2", "functional": "PBE", "state": "relaxed", "lattice": [[4.373, 0.000, 0.000], [0.000, 4.373, 0.000], [0.000, 0.000, 9.953]], "species": ["Ba", "Ba", "Re", "Re", "As", "As", "As", "As"], "frac_coords": [[0.000, 0.000, 0.000], [0.500, 0.500, 0.500], [0.000, 0.500, 0.750], [0.500, 0.000, 0.250], [0.000, 0.000, 0.500], [0.000, 0.500, 0.250], [0.500, 0.000, 0.750], [0.500, 0.500, 0.000]], "ef_ev_per_atom": 0.810, "total_magnetization_mub_per_atom": 0.6702, "de_polymorph_mev_per_atom": 1067.4, "space_group": "No. 119"}